GdSe GGA-PBEsol relaxed; magnetization = 6.83 Bohr magnetons per cell; space group = Fm-3m (225); volume = 47.48 Å³/cell; E_form (uncorrected) = -1.919 eV/atom
1.0
0.000 2.874 2.874
2.874 0.000 2.874
2.874 2.874 0.000
Gd Se
1 1
Direct
0.000 0.000 0.000
0.500 0.500 0.500



Na2BiSeI GGA-PBEsol relaxed; magnetization = 0.00 Bohr magnetons per cell; space group = P4/mmm (123); volume = 171.58 Å³/cell; E_form (uncorrected) = 0.015 eV/atom
1.0
5.519 0.000 0.000
0.000 5.519 0.000
0.000 0.000 5.634
Na Bi Se I
2 1 1 1
Direct
0.000 0.500 0.000
0.500 0.000 0.000
0.000 0.000 0.500
0.500 0.500 0.500
0.500 0.500 0.000



Cr2CuTc GGA-PBEsol relaxed; magnetization = 0.74 Bohr magnetons per cell; energy of formation = 31.6 kJ/mol of atoms; space group = P4mm (99); volume = 48.46 Å³/cell
1.0
2.479 0.000 0.000
0.000 2.479 0.000
0.000 0.000 7.884
Cr Cu Tc
2 1 1
Direct
0.000 0.000 0.000
0.500 0.500 0.238
0.000 0.000 0.481
0.500 0.500 0.743



Tc3HBr GGA-PBEsol relaxed; magnetization = 0.00 Bohr magnetons per cell; excess energy over the best structure of this formula in the dataset = 0.0 meV per atom; space group = Pm-3m (221); volume = 62.00 Å³/cell
1.0
3.958 0.000 0.000
0.000 3.958 0.000
0.000 0.000 3.958
Tc H Br
3 1 1
Direct
0.000 0.000 0.500
0.000 0.500 0.000
0.500 0.000 0.000
0.000 0.000 0.000
0.500 0.500 0.500



LaZrIr2 GGA-PBEsol relaxed; magnetization = 0.00 Bohr magnetons per cell; energy of formation = -38.3 kJ/mol of atoms; space group = Cm (8); volume = 76.79 Å³/cell
1.0
5.231 -1.481 0.000
5.231 1.481 0.000
-0.896 0.000 4.955
La Zr Ir
1 1 2
Direct
0.000 0.000 0.000
0.797 0.797 0.374
0.243 0.243 0.851
0.552 0.552 0.515



AlCrSe3 GGA-PBEsol relaxed; magnetization = 1.94 Bohr magnetons per cell; space group = Pm-3m (221); volume = 106.93 Å³/cell; E_form (uncorrected) = 0.167 eV/atom
1.0
4.746 0.000 0.000
0.000 4.746 0.000
0.000 0.000 4.746
Al Cr Se
1 1 3
Direct
0.000 0.000 0.000
0.500 0.500 0.500
0.000 0.500 0.500
0.500 0.000 0.500
0.500 0.500 0.000



TiNiP2O8 GGA-PBEsol relaxed; magnetization = 4.07 Bohr magnetons per cell; excess energy over the best structure of this formula in the dataset = 8.4 meV per atom; space group = P2_1/m (11); volume = 270.88 Å³/cell; E_form (uncorrected) = -2.147 eV/atom
1.0
4.790 0.000 0.000
0.000 5.762 0.000
-0.227 0.000 9.815
Ti Ni P O
2 2 4 16
Direct
0.034 0.250 0.229
0.966 0.750 0.771
0.458 0.250 0.728
0.542 0.750 0.272
0.071 0.750 0.097
0.386 0.750 0.591
0.614 0.250 0.409
0.929 0.250 0.903
0.150 0.750 0.945
0.220 0.540 0.172
0.220 0.960 0.172
0.237 0.546 0.669
0.237 0.954 0.669
0.242 0.250 0.892
0.300 0.250 0.372
0.332 0.750 0.441
0.668 0.250 0.559
0.700 0.750 0.628
0.758 0.750 0.108
0.763 0.046 0.331
0.763 0.454 0.331
0.780 0.040 0.828
0.780 0.460 0.828
0.850 0.250 0.055



LaMg2Cu9 GGA-PBEsol relaxed; magnetization = 0.00 Bohr magnetons per cell; energy of formation = -14.6 kJ/mol of atoms; space group = P6_3/mmc (194); volume = 343.47 Å³/cell
1.0
4.991 0.000 0.000
-2.496 4.322 0.000
0.000 0.000 15.920
La Mg Cu
2 4 18
Direct
0.333 0.667 0.250
0.667 0.333 0.750
0.333 0.667 0.031
0.333 0.667 0.469
0.667 0.333 0.531
0.667 0.333 0.969
0.000 0.000 0.000
0.000 0.000 0.250
0.000 0.000 0.500
0.000 0.000 0.750
0.168 0.336 0.622
0.168 0.336 0.878
0.168 0.832 0.622
0.168 0.832 0.878
0.333 0.667 0.750
0.336 0.168 0.122
0.336 0.168 0.378
0.664 0.832 0.622
0.664 0.832 0.878
0.667 0.333 0.250
0.832 0.168 0.122
0.832 0.168 0.378
0.832 0.664 0.122
0.832 0.664 0.378



Li2TlHg GGA-PBEsol relaxed; magnetization = 0.00 Bohr magnetons per cell; energy of formation = -33.5 kJ/mol of atoms; space group = Fm-3m (225); volume = 73.81 Å³/cell
1.0
0.000 3.329 3.329
3.329 0.000 3.329
3.329 3.329 0.000
Li Tl Hg
2 1 1
Direct
0.250 0.250 0.250
0.750 0.750 0.750
0.000 0.000 0.000
0.500 0.500 0.500



CsBTeI2 GGA-PBEsol relaxed; magnetization = 0.00 Bohr magnetons per cell; space group = P4/mmm (123); volume = 160.27 Å³/cell; E_form (uncorrected) = 0.052 eV/atom
1.0
5.899 0.000 0.000
0.000 5.899 0.000
0.000 0.000 4.605
Cs B Te I
1 1 1 2
Direct
0.000 0.000 0.000
0.500 0.500 0.500
0.500 0.500 0.000
0.000 0.500 0.500
0.500 0.000 0.500



IrPt2 GGA-PBEsol relaxed; magnetization = 0.00 Bohr magnetons per cell; energy of formation = 15.7 kJ/mol of atoms; excess energy over the best structure of this formula in the dataset = 106.7 meV per atom; space group = Cmcm (63); volume = 88.51 Å³/cell
1.0
1.364 -7.053 0.000
1.364 7.053 0.000
0.000 0.000 4.599
Ir Pt
2 4
Direct
0.110 0.890 0.750
0.890 0.110 0.250
0.224 0.776 0.250
0.444 0.556 0.750
0.556 0.444 0.250
0.776 0.224 0.750



Zr2CrHg GGA-PBEsol relaxed; magnetization = 2.07 Bohr magnetons per cell; energy of formation = 7.1 kJ/mol of atoms; excess energy over the best structure of this formula in the dataset = 0.0 meV per atom; space group = I4/mmm (139); volume = 75.11 Å³/cell
1.0
-2.102 2.102 4.248
2.102 -2.102 4.248
2.102 2.102 -4.248
Zr Cr Hg
2 1 1
Direct
0.250 0.750 0.500
0.750 0.250 0.500
0.000 0.000 0.000
0.500 0.500 0.000



GaPdI2N GGA-PBEsol relaxed; magnetization = 1.10 Bohr magnetons per cell; space group = P4/mmm (123); volume = 112.39 Å³/cell; E_form (uncorrected) = 0.683 eV/atom
1.0
5.667 0.000 0.000
0.000 5.667 0.000
0.000 0.000 3.500
Ga Pd I N
1 1 2 1
Direct
0.000 0.000 0.000
0.500 0.500 0.500
0.000 0.500 0.000
0.500 0.000 0.000
0.000 0.000 0.500



Mg2AlAsC GGA-PBEsol relaxed; magnetization = 0.00 Bohr magnetons per cell; energy of formation = -15.5 kJ/mol of atoms; space group = P4/mmm (123); volume = 75.19 Å³/cell
1.0
4.375 0.000 0.000
0.000 4.375 0.000
0.000 0.000 3.929
Mg Al As C
2 1 1 1
Direct
0.000 0.500 0.000
0.500 0.000 0.000
0.000 0.000 0.500
0.500 0.500 0.500
0.000 0.000 0.000



TlInAu2I GGA-PBEsol relaxed; magnetization = 0.00 Bohr magnetons per cell; space group = P4/mmm (123); volume = 171.39 Å³/cell; E_form (uncorrected) = 0.364 eV/atom
1.0
5.193 0.000 0.000
0.000 5.193 0.000
0.000 0.000 6.356
Tl In Au I
1 1 2 1
Direct
0.000 0.000 0.000
0.500 0.500 0.500
0.000 0.500 0.000
0.500 0.000 0.000
0.000 0.000 0.500



Ba2ScTc GGA-PBEsol relaxed; magnetization = 0.00 Bohr magnetons per cell; energy of formation = 94.0 kJ/mol of atoms; excess energy over the best structure of this formula in the dataset = 601.2 meV per atom; space group = R-3m (166); volume = 113.46 Å³/cell
1.0
1.769 1.021 10.465
-1.769 1.021 10.465
0.000 -2.043 10.465
Ba Sc Tc
2 1 1
Direct
0.238 0.238 0.238
0.762 0.762 0.762
0.000 0.000 0.000
0.500 0.500 0.500



CoReBr2 GGA-PBEsol relaxed; magnetization = 3.66 Bohr magnetons per cell; excess energy over the best structure of this formula in the dataset = 1126.7 meV per atom; space group = I-4m2 (119); volume = 68.15 Å³/cell; E_form (uncorrected) = 1.447 eV/atom
1.0
-1.825 1.825 5.114
1.825 -1.825 5.114
1.825 1.825 -5.114
Co Re Br
1 1 2
Direct
0.000 0.000 0.000
0.750 0.250 0.500
0.250 0.750 0.500
0.500 0.500 0.000



Cd2Au3 GGA-PBEsol relaxed; magnetization = 0.00 Bohr magnetons per cell; energy of formation = -8.7 kJ/mol of atoms; space group = Immm (71); volume = 89.53 Å³/cell
1.0
-1.471 2.072 7.344
1.471 -2.072 7.344
1.471 2.072 -7.344
Cd Au
2 3
Direct
0.195 0.195 0.000
0.805 0.805 0.000
0.000 0.000 0.000
0.400 0.400 0.000
0.600 0.600 0.000



Tl4SiIr GGA-PBEsol relaxed; magnetization = 0.00 Bohr magnetons per cell; space group = F-43m (216); volume = 146.03 Å³/cell; E_form (uncorrected) = 1.077 eV/atom
1.0
0.000 4.180 4.180
4.180 0.000 4.180
4.180 4.180 0.000
Tl Si Ir
4 1 1
Direct
0.125 0.125 0.125
0.125 0.125 0.624
0.125 0.624 0.125
0.624 0.125 0.125
0.750 0.750 0.750
0.500 0.500 0.500



YZrTa3 GGA-PBEsol relaxed; magnetization = 0.00 Bohr magnetons per cell; energy of formation = 136.9 kJ/mol of atoms; excess energy over the best structure of this formula in the dataset = 0.0 meV per atom; space group = Pm-3m (221); volume = 117.78 Å³/cell
1.0
4.902 0.000 0.000
0.000 4.902 0.000
0.000 0.000 4.902
Y Zr Ta
1 1 3
Direct
0.000 0.000 0.000
0.500 0.500 0.500
0.000 0.500 0.500
0.500 0.000 0.500
0.500 0.500 0.000



NaSrSN2 GGA-PBEsol relaxed; magnetization = 5.00 Bohr magnetons per cell; space group = P4/mmm (123); volume = 98.82 Å³/cell; E_form (uncorrected) = 0.831 eV/atom
1.0
4.420 0.000 0.000
0.000 4.420 0.000
0.000 0.000 5.058
Na Sr S N
1 1 1 2
Direct
0.000 0.000 0.000
0.500 0.500 0.500
0.000 0.000 0.500
0.000 0.500 0.000
0.500 0.000 0.000



Ta2ZnP GGA-PBEsol relaxed; magnetization = 0.00 Bohr magnetons per cell; energy of formation = -25.4 kJ/mol of atoms; space group = P4/mmm (123); volume = 60.84 Å³/cell
1.0
3.008 0.000 0.000
0.000 3.008 0.000
0.000 0.000 6.722
Ta Zn P
2 1 1
Direct
0.000 0.000 0.221
0.000 0.000 0.779
0.500 0.500 0.500
0.500 0.500 0.000



LiMoRu3 GGA-PBEsol relaxed; magnetization = 1.72 Bohr magnetons per cell; energy of formation = 148.6 kJ/mol of atoms; space group = Pm-3m (221); volume = 97.29 Å³/cell
1.0
4.599 0.000 0.000
0.000 4.599 0.000
0.000 0.000 4.599
Li Mo Ru
1 1 3
Direct
0.000 0.000 0.000
0.500 0.500 0.500
0.000 0.500 0.500
0.500 0.000 0.500
0.500 0.500 0.000



SrSi2PbF GGA-PBEsol relaxed; magnetization = 0.00 Bohr magnetons per cell; space group = P4/mmm (123); volume = 143.33 Å³/cell; E_form (uncorrected) = 0.019 eV/atom
1.0
5.776 0.000 0.000
0.000 5.776 0.000
0.000 0.000 4.296
Sr Si Pb F
1 2 1 1
Direct
0.000 0.000 0.000
0.000 0.500 0.000
0.500 0.000 0.000
0.500 0.500 0.500
0.000 0.000 0.500



AlV4S8 GGA-PBEsol relaxed; magnetization = 0.48 Bohr magnetons per cell; space group = F-43m (216); volume = 214.64 Å³/cell; E_form (uncorrected) = -1.052 eV/atom
1.0
0.000 4.752 4.752
4.752 0.000 4.752
4.752 4.752 0.000
Al V S
1 4 8
Direct
0.000 0.000 0.000
0.396 0.396 0.396
0.396 0.396 0.812
0.396 0.812 0.396
0.812 0.396 0.396
0.108 0.631 0.631
0.137 0.137 0.137
0.137 0.137 0.590
0.137 0.590 0.137
0.590 0.137 0.137
0.631 0.108 0.631
0.631 0.631 0.108
0.631 0.631 0.631



LiInI2N GGA-PBEsol relaxed; magnetization = 1.02 Bohr magnetons per cell; space group = P4/mmm (123); volume = 145.91 Å³/cell; E_form (uncorrected) = 0.139 eV/atom
1.0
6.015 0.000 0.000
0.000 6.015 0.000
0.000 0.000 4.033
Li In I N
1 1 2 1
Direct
0.000 0.000 0.000
0.500 0.500 0.500
0.000 0.500 0.500
0.500 0.000 0.500
0.500 0.500 0.000